VASP calculation (PBE) on a relaxed structure of Pm12Cu3H5.

Computed properties:
Its crystal system is cubic. As for the space group: Ia-3d. The electronic total energy comes out at -4.48 eV per atom.

Cell: 13.461 13.461 13.461 Å, 109.47 109.47 109.47°
Positions (direct):
H: 0.500 0.000 0.500
Cu: 0.875 0.750 0.125
H: 0.375 0.125 0.750
Pm: 0.093 0.902 0.115
Pm: 0.690 0.478 0.593
H: 0.500 0.500 0.500
H: 0.750 0.625 0.375
Pm: 0.810 0.902 0.287
Cu: 0.750 0.375 0.125
Pm: 0.907 0.098 0.885
H: 0.125 0.375 0.250
Pm: 0.978 0.385 0.287
Pm: 0.098 0.907 0.385
Pm: 0.902 0.810 0.787
H: 0.250 0.875 0.125
Pm: 0.478 0.690 0.093
H: 0.500 0.000 0.000
Cu: 0.375 0.625 0.250
Pm: 0.402 0.115 0.593
Pm: 0.093 0.190 0.478
Cu: 0.125 0.875 0.750
Pm: 0.593 0.978 0.690
Pm: 0.385 0.978 0.787
H: 0.000 0.500 0.500
Pm: 0.902 0.093 0.615
Pm: 0.310 0.787 0.402
Pm: 0.287 0.885 0.978
Pm: 0.190 0.098 0.713
Pm: 0.810 0.907 0.022
Cu: 0.750 0.875 0.625
Pm: 0.598 0.885 0.407
Cu: 0.375 0.750 0.625
Pm: 0.402 0.287 0.310
Pm: 0.407 0.022 0.310
Pm: 0.907 0.810 0.522
Pm: 0.593 0.615 0.402
Pm: 0.978 0.593 0.190
H: 0.250 0.375 0.625
H: 0.875 0.625 0.750
H: 0.625 0.750 0.875
H: 0.375 0.250 0.125
Cu: 0.625 0.375 0.750
Pm: 0.885 0.287 0.478
Cu: 0.625 0.250 0.375
H: 0.500 0.500 0.000
Pm: 0.787 0.478 0.385
H: 0.125 0.750 0.375
Pm: 0.690 0.213 0.598
Pm: 0.713 0.115 0.022
Pm: 0.190 0.093 0.978
Pm: 0.407 0.385 0.598
Cu: 0.875 0.125 0.250
Pm: 0.787 0.310 0.902
H: 0.000 0.000 0.000
Cu: 0.125 0.250 0.875
Pm: 0.213 0.690 0.098
Cu: 0.250 0.125 0.375
Pm: 0.615 0.593 0.902
Pm: 0.385 0.407 0.098
H: 0.875 0.250 0.625
Pm: 0.115 0.402 0.093
Pm: 0.022 0.407 0.810
Pm: 0.615 0.022 0.213
Pm: 0.213 0.522 0.615
H: 0.750 0.125 0.875
Pm: 0.310 0.522 0.407
Pm: 0.522 0.213 0.115
Pm: 0.713 0.598 0.190
Pm: 0.022 0.615 0.713
H: 0.000 0.000 0.500
Pm: 0.115 0.713 0.522
Pm: 0.885 0.598 0.907
Pm: 0.098 0.190 0.213
H: 0.000 0.500 0.000
Cu: 0.250 0.625 0.875
Pm: 0.522 0.310 0.907
Pm: 0.478 0.787 0.885
H: 0.625 0.875 0.250
Pm: 0.598 0.713 0.690
Pm: 0.287 0.402 0.810